Density functional theory data (PBE-GGA) for crystalline Li3TbTl4 at its relaxed geometry.

Cell and atoms, written as CIF:
```
data_Li3TbTl4
_chemical_formula_sum 'Li9 Tb3 Tl12'
_cell_length_a 5.0117
_cell_length_b 5.0117
_cell_length_c 25.3320
_cell_angle_alpha 90.00
_cell_angle_beta 90.00
_cell_angle_gamma 120.00
_symmetry_space_group_name_H-M 'R -3 m'
_symmetry_Int_Tables_number 166
_symmetry_space_group_name_Hall '-R 3 2"'
loop_
_atom_site_label
_atom_site_fract_x
_atom_site_fract_y
_atom_site_fract_z
Li1 0.0000 0.0000 0.0000
Li2 0.0000 0.0000 0.2500
Tb1 0.0000 0.0000 0.5000
Tl1 0.0000 0.0000 0.1171
Tl2 0.0000 0.0000 0.3709
```

energy of formation from the pure elements = -0.263 eV per atom
magnetization = 0.00 μB per cell